Material: NdEuDyTh
Method: DFT, PBE
State: relaxed

The structure in extended XYZ format:
```
4
Lattice="-1.748 -4.879 -2.600 -2.618 -4.152 3.086 -5.659 -1.026 -0.734" Properties=species:S:1:pos:R:3 pbc="T T T"
Nd -5.012 -5.028 -0.124
Dy 0.000 0.000 0.000
Th -2.506 -2.514 -0.062
Eu -7.519 -7.543 -0.186
```

Magnetic moment in μB/cell: 6.725
Space-group type: No. 216
DOS(E_F) in states/eV/f.u.: 8.99
ΔH_f (0 K) in eV/f.u.: 0.89

***

Material: Nd4GaAu
Method: DFT, PBE
State: relaxed

The structure in extended XYZ format:
```
12
Lattice="5.408 0.000 0.000 0.000 6.417 0.000 -2.704 0.000 11.070" Properties=species:S:1:pos:R:3 pbc="T T T"
Nd 0.000 5.462 9.747
Nd 0.000 3.696 6.793
Nd 2.704 2.253 1.322
Ga 2.704 5.250 7.516
Nd 0.000 0.347 6.264
Nd 2.704 3.555 4.806
Au 2.704 5.395 1.623
Nd 2.704 0.488 4.276
Au 0.000 2.187 9.447
Nd 2.704 1.881 8.458
Ga 0.000 2.042 3.553
Nd 0.000 5.090 2.612
```

Magnetic moment in μB/cell: 0.000
Space-group type: No. 36
DOS(E_F) in states/eV/f.u.: 6.22
ΔH_f (0 K) in eV/f.u.: -1.71

***

> Which formula does entry 2 have?

Nd4GaAu

***

> Among the records above, which one has the highest magnetic moment?

NdEuDyTh